# 1
First-principles (PBE) data for a relaxed structure of ZrAl4Co, as listed in the Alexandria database.

```
ZrAl4Co
1.0
0.0000 3.6639 3.6639
3.6639 0.0000 3.6639
3.6639 3.6639 0.0000
Zr Al Co
1 4 1
direct
0.0000 0.0000 0.0000
0.1238 0.6254 0.6254
0.6254 0.1238 0.6254
0.6254 0.6254 0.1238
0.6254 0.6254 0.6254
0.2500 0.2500 0.2500
```

Computed properties:
energy of formation = -22 meV per atom
uncorrected energy = -0.1884 hartree per atom



# 2
First-principles (PBE) data for a relaxed structure of Sm2Ho7Tm4, as listed in the Alexandria database.

```
Sm2Ho7Tm4
1.0
6.0233 0.0000 0.0000
-3.0117 5.2164 0.0000
0.0000 0.0000 13.2179
Sm Ho Tm
2 7 4
direct
0.3333 0.6667 0.0000
0.6667 0.3333 0.0000
0.0000 0.0000 0.0000
0.0000 0.3533 0.2175
0.0000 0.6467 0.7825
0.3533 0.0000 0.2175
0.3533 0.3533 0.7825
0.6467 0.0000 0.7825
0.6467 0.6467 0.2175
0.0000 0.0000 0.3951
0.0000 0.0000 0.6049
0.3333 0.6667 0.5000
0.6667 0.3333 0.5000
```

Computed properties:
energy of formation = 194 meV per atom
uncorrected energy = -0.1607 hartree per atom



# 3
First-principles (PBE) data for a relaxed structure of AlCuOs2, as listed in the Alexandria database.

```
AlCuOs2
1.0
8.7030 0.0000 0.0000
0.0000 2.7623 0.0000
-0.9831 0.0000 4.6203
Al Cu Os
2 2 4
direct
0.0000 0.0000 0.0000
0.5000 0.5000 0.0000
0.0000 0.5000 0.5000
0.5000 0.0000 0.5000
0.2431 0.5000 0.2485
0.2569 0.0000 0.7515
0.7431 0.0000 0.2485
0.7569 0.5000 0.7515
```

Computed properties:
energy of formation = 60 meV per atom
uncorrected energy = -0.2762 hartree per atom



# 4
First-principles (PBE) data for a relaxed structure of CdCl2, as listed in the Alexandria database.

```
CdCl2
1.0
6.5836 0.0000 0.0000
0.0000 6.5836 0.0000
0.0000 0.0000 6.5836
Cd Cl
4 8
direct
0.0000 0.0000 0.0000
0.0000 0.5000 0.5000
0.5000 0.0000 0.5000
0.5000 0.5000 0.0000
0.1539 0.6539 0.8461
0.1539 0.8461 0.3461
0.3461 0.1539 0.8461
0.3461 0.3461 0.3461
0.6539 0.6539 0.6539
0.6539 0.8461 0.1539
0.8461 0.1539 0.6539
0.8461 0.3461 0.1539
```

Computed properties:
formation energy without anion corrections = -1004 meV/atom
uncorrected energy = -0.0934 hartree per atom